Record 1
VASP calculation (PBE) on a geometry-optimized Na3IrBr structure.

```
data_Na3IrBr
_chemical_formula_sum 'Na3 Ir1 Br1'
_space_group_name_H-M_alt 'P 1'
_space_group_IT_number 1
_space_group_name_Hall 'P 1'
_cell_length_a 5.331
_cell_length_b 5.331
_cell_length_c 5.331
_cell_angle_alpha 90.00
_cell_angle_beta 90.00
_cell_angle_gamma 90.00
loop_
_atom_site_label
_atom_site_fract_x
_atom_site_fract_y
_atom_site_fract_z
_atom_site_occupancy
Na1 0.000 0.000 0.500 1
Na2 0.000 0.500 0.000 1
Na3 0.500 0.000 0.000 1
Br1 0.000 0.000 0.000 1
Ir1 0.500 0.500 0.500 1
```

Values from the calculation:
space group: Pm-3m (221)
total DFT energy (no corrections): -13.1 eV/cell
E_form (uncorrected): 281 meV per atom
DOS at the Fermi energy: 0.90 states/eV/atom

---

Record 2
VASP calculation (PBE) on a geometry-optimized Sc3ZnN structure.

```
data_Sc3ZnN
_chemical_formula_sum 'Sc6 Zn2 N2'
_space_group_name_H-M_alt 'P 1'
_space_group_IT_number 1
_space_group_name_Hall 'P 1'
_cell_length_a 6.336
_cell_length_b 6.336
_cell_length_c 6.336
_cell_angle_alpha 58.35
_cell_angle_beta 58.35
_cell_angle_gamma 58.35
loop_
_atom_site_label
_atom_site_fract_x
_atom_site_fract_y
_atom_site_fract_z
_atom_site_occupancy
Sc1 0.416 0.998 0.836 1
Sc2 0.584 0.002 0.164 1
Sc3 0.002 0.164 0.584 1
Sc4 0.164 0.584 0.002 1
Sc5 0.998 0.836 0.416 1
Sc6 0.836 0.416 0.998 1
N1 0.170 0.170 0.170 1
N2 0.830 0.830 0.830 1
Zn1 0.591 0.591 0.591 1
Zn2 0.409 0.409 0.409 1
```

Values from the calculation:
space group: R-3 (148)
total DFT energy (no corrections): -64.9 eV/cell
E_form (uncorrected): -771 meV per atom
DOS at the Fermi energy: 0.00 states/eV/atom

---

Record 3
VASP calculation (PBE) on a geometry-optimized Th4CdPd2 structure.

```
data_Th4CdPd2
_chemical_formula_sum 'Th4 Cd1 Pd2'
_space_group_name_H-M_alt 'P 1'
_space_group_IT_number 1
_space_group_name_Hall 'P 1'
_cell_length_a 4.329
_cell_length_b 4.329
_cell_length_c 12.952
_cell_angle_alpha 80.38
_cell_angle_beta 80.38
_cell_angle_gamma 60.00
loop_
_atom_site_label
_atom_site_fract_x
_atom_site_fract_y
_atom_site_fract_z
_atom_site_occupancy
Th1 0.110 0.110 0.670 1
Th2 0.697 0.697 0.910 1
Th3 0.890 0.890 0.330 1
Th4 0.303 0.303 0.090 1
Pd1 0.402 0.402 0.793 1
Pd2 0.598 0.598 0.207 1
Cd1 0.500 0.500 0.500 1
```

Values from the calculation:
space group: R-3m (166)
total DFT energy (no corrections): -42.4 eV/cell
DOS at the Fermi energy: 1.14 states/eV/atom
energy relative to the elements: -203 meV per atom

---

Record 4
VASP calculation (PBE) on a geometry-optimized TlSnHgCl6 structure.

```
data_TlSnHgCl6
_chemical_formula_sum 'Tl2 Sn2 Hg2 Cl12'
_space_group_name_H-M_alt 'P 1'
_space_group_IT_number 1
_space_group_name_Hall 'P 1'
_cell_length_a 6.981
_cell_length_b 6.981
_cell_length_c 13.975
_cell_angle_alpha 90.00
_cell_angle_beta 90.00
_cell_angle_gamma 120.00
loop_
_atom_site_label
_atom_site_fract_x
_atom_site_fract_y
_atom_site_fract_z
_atom_site_occupancy
Sn1 0.667 0.333 0.250 1
Sn2 0.333 0.667 0.750 1
Cl1 0.372 0.365 0.359 1
Cl2 0.372 0.007 0.141 1
Cl3 0.993 0.628 0.359 1
Cl4 0.628 0.993 0.859 1
Cl5 0.365 0.993 0.641 1
Cl6 0.007 0.372 0.641 1
Cl7 0.628 0.635 0.641 1
Cl8 0.635 0.628 0.141 1
Cl9 0.007 0.635 0.859 1
Cl10 0.365 0.372 0.859 1
Cl11 0.635 0.007 0.359 1
Cl12 0.993 0.365 0.141 1
Tl1 0.000 0.000 0.000 1
Tl2 0.000 0.000 0.500 1
Hg1 0.333 0.667 0.250 1
Hg2 0.667 0.333 0.750 1
```

Values from the calculation:
space group: P-31c (163)
total DFT energy (no corrections): -50.0 eV/cell
E_form (uncorrected): -804 meV per atom
DOS at the Fermi energy: 0.63 states/eV/atom